# 1
# BaAlGaHg2

A relaxed structure of BaAlGaHg2 (PBE, Alexandria via LeMat-Bulk).

Values from the calculation:
- Total DFT energy (no corrections): -10.18 eV per formula unit
- Energy of formation: -0.176 eV per atom
- Total magnetization: 0.000 μB per formula unit

a = 5.3474 Å, b = 5.3474 Å, c = 5.1048 Å
α = 90.00°, β = 90.00°, γ = 90.00°
Space group P4/mmm (No. 123)
Asymmetric unit:
Ba: 0.0000 0.0000 0.0000 [1 per cell]
Al: 0.5000 0.5000 0.5000 [1 per cell]
Ga: 0.5000 0.5000 0.0000 [1 per cell]
Hg: 0.0000 0.5000 0.5000 [2 per cell]

# 2
# Ba2Al3In4Ga

A relaxed structure of Ba2Al3In4Ga (PBE, Alexandria via LeMat-Bulk).

Values from the calculation:
- Total DFT energy (no corrections): -31.96 eV per formula unit
- Energy of formation: -0.291 eV per atom
- Total magnetization: 0.000 μB per formula unit

a = 4.8224 Å, b = 4.8224 Å, c = 11.6984 Å
α = 90.00°, β = 90.00°, γ = 90.00°
Space group P-4m2 (No. 115)
Asymmetric unit:
Ba: 0.0000 0.5000 0.2458 [2 per cell]
Al: 0.0000 0.0000 0.0000 [1 per cell]
Al: 0.0000 0.5000 0.6339 [2 per cell]
In: 0.0000 0.0000 0.5000 [1 per cell]
In: 0.0000 0.5000 0.8707 [2 per cell]
In: 0.5000 0.5000 0.5000 [1 per cell]
Ga: 0.5000 0.5000 0.0000 [1 per cell]

# 3
# Ba2Al4InGa3

A relaxed structure of Ba2Al4InGa3 (PBE, Alexandria via LeMat-Bulk).

Values from the calculation:
- Total DFT energy (no corrections): -33.95 eV per formula unit
- Energy of formation: -0.331 eV per atom
- Total magnetization: 0.000 μB per formula unit

a = 4.6200 Å, b = 4.6200 Å, c = 11.2706 Å
α = 90.00°, β = 90.00°, γ = 90.00°
Space group P-4m2 (No. 115)
Asymmetric unit:
Ba: 0.0000 0.5000 0.2454 [2 per cell]
Al: 0.0000 0.0000 0.0000 [1 per cell]
Al: 0.0000 0.5000 0.6374 [2 per cell]
Al: 0.5000 0.5000 0.0000 [1 per cell]
In: 0.0000 0.0000 0.5000 [1 per cell]
Ga: 0.0000 0.5000 0.8731 [2 per cell]
Ga: 0.5000 0.5000 0.5000 [1 per cell]

# 4
# Ba2Al3InGa4

A relaxed structure of Ba2Al3InGa4 (PBE, Alexandria via LeMat-Bulk).

Values from the calculation:
- Total DFT energy (no corrections): -33.52 eV per formula unit
- Energy of formation: -0.360 eV per atom
- Total magnetization: 0.000 μB per formula unit

a = 4.6391 Å, b = 4.6391 Å, c = 11.2001 Å
α = 90.00°, β = 90.00°, γ = 90.00°
Space group P-4m2 (No. 115)
Asymmetric unit:
Ba: 0.0000 0.5000 0.2420 [2 per cell]
Al: 0.0000 0.5000 0.8773 [2 per cell]
Al: 0.5000 0.5000 0.5000 [1 per cell]
In: 0.0000 0.0000 0.5000 [1 per cell]
Ga: 0.0000 0.0000 0.0000 [1 per cell]
Ga: 0.0000 0.5000 0.6408 [2 per cell]
Ga: 0.5000 0.5000 0.0000 [1 per cell]

# 5
# Ba2AlIn4Ga3

A relaxed structure of Ba2AlIn4Ga3 (PBE, Alexandria via LeMat-Bulk).

Values from the calculation:
- Total DFT energy (no corrections): -31.09 eV per formula unit
- Energy of formation: -0.347 eV per atom
- Total magnetization: 0.000 μB per formula unit

a = 4.8284 Å, b = 4.8284 Å, c = 11.6343 Å
α = 90.00°, β = 90.00°, γ = 90.00°
Space group P-4m2 (No. 115)
Asymmetric unit:
Ba: 0.0000 0.5000 0.2461 [2 per cell]
Al: 0.5000 0.5000 0.0000 [1 per cell]
In: 0.0000 0.0000 0.5000 [1 per cell]
In: 0.0000 0.5000 0.8719 [2 per cell]
In: 0.5000 0.5000 0.5000 [1 per cell]
Ga: 0.0000 0.0000 0.0000 [1 per cell]
Ga: 0.0000 0.5000 0.6348 [2 per cell]

# 6
# Ba2Li3Al12Ga

A relaxed structure of Ba2Li3Al12Ga (PBE, Alexandria via LeMat-Bulk).

Values from the calculation:
- Total DFT energy (no corrections): -57.00 eV per formula unit
- Energy of formation: 0.029 eV per atom
- Total magnetization: 0.000 μB per formula unit

a = 6.7949 Å, b = 6.7949 Å, c = 30.4108 Å
α = 90.00°, β = 90.00°, γ = 120.00°
Space group R-3m (No. 166, hexagonal axes)
Asymmetric unit:
Ba: 0.0000 0.0000 0.1499 [6 per cell]
Li: 0.0000 0.5000 0.0000 [9 per cell]
Al: 0.0648 0.5324 0.0910 [18 per cell]
Al: 0.0699 0.5350 0.6190 [18 per cell]
Ga: 0.0000 0.0000 0.5000 [3 per cell]